First-principles (PBE) data for a geometry-optimized LuRe structure, as listed in the Open Quantum Materials Database.

Values from the calculation:
The symmetry is Pm, No. 6. For the energy relative to the elements, the calculation gives 0.58 eV per atom. As for the electronic total energy: -15.80 eV/f.u. Its calculated density is 15639 kg/m3.

Cell: 3.071 4.653 3.085 Å, 90.00 119.57 90.00°
Atoms (fractional coordinates):
Lu  0.000  0.000  0.000
Re  0.667  0.500  0.337


First-principles (PBE) data for a geometry-optimized LuRe2Sb structure, as listed in the Open Quantum Materials Database.

Values from the calculation:
The symmetry is F-43m, No. 216. As for the electronic total energy: -31.54 eV/f.u. Its calculated density is 15006 kg/m3.

Cell: 6.666 6.666 6.666 Å, 90.00 90.00 90.00°
Atoms (fractional coordinates):
Lu  0.000  0.000  0.000
Lu  0.000  0.500  0.500
Lu  0.500  0.000  0.500
Lu  0.500  0.500  0.000
Re  0.000  0.000  0.500
Re  0.000  0.500  0.000
Re  0.250  0.250  0.250
Re  0.250  0.750  0.750
Re  0.500  0.000  0.000
Re  0.500  0.500  0.500
Re  0.750  0.250  0.750
Re  0.750  0.750  0.250
Sb  0.250  0.250  0.750
Sb  0.250  0.750  0.250
Sb  0.750  0.250  0.250
Sb  0.750  0.750  0.750


First-principles (PBE) data for a geometry-optimized Lu6ReSb2 structure, as listed in the Open Quantum Materials Database.

Values from the calculation:
The symmetry is P-62m, No. 189. As for the electronic total energy: -53.16 eV/f.u. Its calculated density is 10517 kg/m3.

Cell: 7.964 7.964 4.253 Å, 90.00 90.00 120.00°
Atoms (fractional coordinates):
Lu  0.000  0.389  0.000
Lu  0.000  0.764  0.500
Lu  0.236  0.236  0.500
Lu  0.389  0.000  0.000
Lu  0.611  0.611  0.000
Lu  0.764  0.000  0.500
Re  0.000  0.000  0.000
Sb  0.333  0.667  0.500
Sb  0.667  0.333  0.500


First-principles (PBE) data for a geometry-optimized Lu2ReSb structure, as listed in the Open Quantum Materials Database.

Values from the calculation:
The symmetry is F-43m, No. 216. As for the electronic total energy: -25.48 eV/f.u. Its calculated density is 13258 kg/m3.

Cell: 6.908 6.908 6.908 Å, 90.00 90.00 90.00°
Atoms (fractional coordinates):
Lu  0.000  0.000  0.000
Lu  0.000  0.500  0.500
Lu  0.250  0.250  0.250
Lu  0.250  0.750  0.750
Lu  0.500  0.000  0.500
Lu  0.500  0.500  0.000
Lu  0.750  0.250  0.750
Lu  0.750  0.750  0.250
Re  0.250  0.250  0.750
Re  0.250  0.750  0.250
Re  0.750  0.250  0.250
Re  0.750  0.750  0.750
Sb  0.000  0.000  0.500
Sb  0.000  0.500  0.000
Sb  0.500  0.000  0.000
Sb  0.500  0.500  0.500


First-principles (PBE) data for a geometry-optimized LuScRe structure, as listed in the Open Quantum Materials Database.

Values from the calculation:
The symmetry is F-43m, No. 216. For the energy relative to the elements, the calculation gives 0.30 eV per atom. As for the excess energy over the best structure of this formula in the dataset: 0.00 eV per formula unit. As for the electronic total energy: -22.38 eV/f.u. Its calculated density is 9745 kg/m3.

Cell: 6.517 6.517 6.517 Å, 90.00 90.00 90.00°
Atoms (fractional coordinates):
Lu  0.000  0.000  0.000
Lu  0.000  0.500  0.500
Lu  0.500  0.000  0.500
Lu  0.500  0.500  0.000
Sc  0.000  0.000  0.500
Sc  0.000  0.500  0.000
Sc  0.500  0.000  0.000
Sc  0.500  0.500  0.500
Re  0.250  0.250  0.250
Re  0.250  0.750  0.750
Re  0.750  0.250  0.750
Re  0.750  0.750  0.250


First-principles (PBE) data for a geometry-optimized Lu2ScRe structure, as listed in the Open Quantum Materials Database.

Values from the calculation:
The symmetry is F-43m, No. 216. For the energy relative to the elements, the calculation gives 0.18 eV per atom. As for the electronic total energy: -27.10 eV/f.u. Its calculated density is 11299 kg/m3.

Cell: 6.991 6.991 6.991 Å, 90.00 90.00 90.00°
Atoms (fractional coordinates):
Lu  0.000  0.000  0.000
Lu  0.000  0.500  0.500
Lu  0.250  0.250  0.250
Lu  0.250  0.750  0.750
Lu  0.500  0.000  0.500
Lu  0.500  0.500  0.000
Lu  0.750  0.250  0.750
Lu  0.750  0.750  0.250
Sc  0.250  0.250  0.750
Sc  0.250  0.750  0.250
Sc  0.750  0.250  0.250
Sc  0.750  0.750  0.750
Re  0.000  0.000  0.500
Re  0.000  0.500  0.000
Re  0.500  0.000  0.000
Re  0.500  0.500  0.500


First-principles (PBE) data for a geometry-optimized LuSc2Re structure, as listed in the Open Quantum Materials Database.

Values from the calculation:
The symmetry is F-43m, No. 216. For the energy relative to the elements, the calculation gives 0.11 eV per atom. As for the electronic total energy: -29.18 eV/f.u. Its calculated density is 9218 kg/m3.

Cell: 6.876 6.876 6.876 Å, 90.00 90.00 90.00°
Atoms (fractional coordinates):
Lu  0.000  0.000  0.000
Lu  0.000  0.500  0.500
Lu  0.500  0.000  0.500
Lu  0.500  0.500  0.000
Sc  0.000  0.000  0.500
Sc  0.000  0.500  0.000
Sc  0.250  0.250  0.250
Sc  0.250  0.750  0.750
Sc  0.500  0.000  0.000
Sc  0.500  0.500  0.500
Sc  0.750  0.250  0.750
Sc  0.750  0.750  0.250
Re  0.250  0.250  0.750
Re  0.250  0.750  0.250
Re  0.750  0.250  0.250
Re  0.750  0.750  0.750


First-principles (PBE) data for a geometry-optimized LuReSi structure, as listed in the Open Quantum Materials Database.

Values from the calculation:
The symmetry is F-43m, No. 216. As for the excess energy over the best structure of this formula in the dataset: 0.00 eV per formula unit. As for the electronic total energy: -22.33 eV/f.u. Its calculated density is 11311 kg/m3.

Cell: 6.114 6.114 6.114 Å, 90.00 90.00 90.00°
Atoms (fractional coordinates):
Lu  0.000  0.000  0.000
Lu  0.000  0.500  0.500
Lu  0.500  0.000  0.500
Lu  0.500  0.500  0.000
Re  0.000  0.000  0.500
Re  0.000  0.500  0.000
Re  0.500  0.000  0.000
Re  0.500  0.500  0.500
Si  0.250  0.250  0.250
Si  0.250  0.750  0.750
Si  0.750  0.250  0.750
Si  0.750  0.750  0.250


First-principles (PBE) data for a geometry-optimized LuRe2Si2 structure, as listed in the Open Quantum Materials Database.

Values from the calculation:
The symmetry is I4/mmm, No. 139. As for the electronic total energy: -41.19 eV/f.u. Its calculated density is 11318 kg/m3.

Cell: 4.289 4.289 9.627 Å, 90.00 90.00 90.00°
Atoms (fractional coordinates):
Lu  0.000  0.000  0.000
Lu  0.500  0.500  0.500
Re  0.000  0.000  0.380
Re  0.000  0.000  0.620
Re  0.500  0.500  0.120
Re  0.500  0.500  0.880
Si  0.000  0.500  0.250
Si  0.000  0.500  0.750
Si  0.500  0.000  0.250
Si  0.500  0.000  0.750


First-principles (PBE) data for a geometry-optimized LuRe2Si2 structure, as listed in the Open Quantum Materials Database.

Values from the calculation:
The symmetry is I4/mmm, No. 139. As for the electronic total energy: -42.39 eV/f.u. Its calculated density is 11983 kg/m3.

Cell: 4.033 4.033 10.284 Å, 90.00 90.00 90.00°
Atoms (fractional coordinates):
Lu  0.000  0.000  0.000
Lu  0.500  0.500  0.500
Re  0.000  0.500  0.250
Re  0.000  0.500  0.750
Re  0.500  0.000  0.250
Re  0.500  0.000  0.750
Si  0.000  0.000  0.384
Si  0.000  0.000  0.616
Si  0.500  0.500  0.116
Si  0.500  0.500  0.884


First-principles (PBE) data for a geometry-optimized Lu2ReSi structure, as listed in the Open Quantum Materials Database.

Values from the calculation:
The symmetry is F-43m, No. 216. As for the electronic total energy: -26.76 eV/f.u. Its calculated density is 12785 kg/m3.

Cell: 6.643 6.643 6.643 Å, 90.00 90.00 90.00°
Atoms (fractional coordinates):
Lu  0.000  0.000  0.000
Lu  0.000  0.500  0.500
Lu  0.250  0.250  0.250
Lu  0.250  0.750  0.750
Lu  0.500  0.000  0.500
Lu  0.500  0.500  0.000
Lu  0.750  0.250  0.750
Lu  0.750  0.750  0.250
Re  0.250  0.250  0.750
Re  0.250  0.750  0.250
Re  0.750  0.250  0.250
Re  0.750  0.750  0.750
Si  0.000  0.000  0.500
Si  0.000  0.500  0.000
Si  0.500  0.000  0.000
Si  0.500  0.500  0.500


First-principles (PBE) data for a geometry-optimized LuReSi2 structure, as listed in the Open Quantum Materials Database.

Values from the calculation:
The symmetry is F-43m, No. 216. As for the electronic total energy: -26.77 eV/f.u. Its calculated density is 10670 kg/m3.

Cell: 6.381 6.381 6.381 Å, 90.00 90.00 90.00°
Atoms (fractional coordinates):
Lu  0.000  0.000  0.000
Lu  0.000  0.500  0.500
Lu  0.500  0.000  0.500
Lu  0.500  0.500  0.000
Re  0.250  0.250  0.750
Re  0.250  0.750  0.250
Re  0.750  0.250  0.250
Re  0.750  0.750  0.750
Si  0.000  0.000  0.500
Si  0.000  0.500  0.000
Si  0.250  0.250  0.250
Si  0.250  0.750  0.750
Si  0.500  0.000  0.000
Si  0.500  0.500  0.500
Si  0.750  0.250  0.750
Si  0.750  0.750  0.250


First-principles (PBE) data for a geometry-optimized SmLuRe structure, as listed in the Open Quantum Materials Database.

Values from the calculation:
The symmetry is F-43m, No. 216. For the energy relative to the elements, the calculation gives 1.22 eV per atom. As for the electronic total energy: -18.00 eV/f.u. Its calculated density is 11014 kg/m3.

Cell: 6.757 6.757 6.757 Å, 90.00 90.00 90.00°
Atoms (fractional coordinates):
Sm  0.000  0.000  0.000
Sm  0.000  0.500  0.500
Sm  0.500  0.000  0.500
Sm  0.500  0.500  0.000
Lu  0.250  0.250  0.750
Lu  0.250  0.750  0.250
Lu  0.750  0.250  0.250
Lu  0.750  0.750  0.750
Re  0.250  0.250  0.250
Re  0.250  0.750  0.750
Re  0.750  0.250  0.750
Re  0.750  0.750  0.250


First-principles (PBE) data for a geometry-optimized Lu2ReSn structure, as listed in the Open Quantum Materials Database.

Values from the calculation:
The symmetry is F-43m, No. 216. As for the electronic total energy: -25.36 eV/f.u. Its calculated density is 13151 kg/m3.

Cell: 6.916 6.916 6.916 Å, 90.00 90.00 90.00°
Atoms (fractional coordinates):
Lu  0.000  0.000  0.000
Lu  0.000  0.500  0.500
Lu  0.250  0.250  0.250
Lu  0.250  0.750  0.750
Lu  0.500  0.000  0.500
Lu  0.500  0.500  0.000
Lu  0.750  0.250  0.750
Lu  0.750  0.750  0.250
Re  0.250  0.250  0.750
Re  0.250  0.750  0.250
Re  0.750  0.250  0.250
Re  0.750  0.750  0.750
Sn  0.000  0.000  0.500
Sn  0.000  0.500  0.000
Sn  0.500  0.000  0.000
Sn  0.500  0.500  0.500


First-principles (PBE) data for a geometry-optimized LuReSn structure, as listed in the Open Quantum Materials Database.

Values from the calculation:
The symmetry is F-43m, No. 216. As for the excess energy over the best structure of this formula in the dataset: 2.32 eV per formula unit. As for the electronic total energy: -17.88 eV/f.u. Its calculated density is 10739 kg/m3.

Cell: 6.671 6.671 6.671 Å, 90.00 90.00 90.00°
Atoms (fractional coordinates):
Lu  0.000  0.000  0.000
Lu  0.000  0.500  0.500
Lu  0.500  0.000  0.500
Lu  0.500  0.500  0.000
Re  0.250  0.250  0.750
Re  0.250  0.750  0.250
Re  0.750  0.250  0.250
Re  0.750  0.750  0.750
Sn  0.250  0.250  0.250
Sn  0.250  0.750  0.750
Sn  0.750  0.250  0.750
Sn  0.750  0.750  0.250


First-principles (PBE) data for a geometry-optimized LuRe2Sn structure, as listed in the Open Quantum Materials Database.

Values from the calculation:
The symmetry is F-43m, No. 216. As for the electronic total energy: -31.81 eV/f.u. Its calculated density is 15176 kg/m3.

Cell: 6.631 6.631 6.631 Å, 90.00 90.00 90.00°
Atoms (fractional coordinates):
Lu  0.000  0.000  0.000
Lu  0.000  0.500  0.500
Lu  0.500  0.000  0.500
Lu  0.500  0.500  0.000
Re  0.000  0.000  0.500
Re  0.000  0.500  0.000
Re  0.250  0.250  0.250
Re  0.250  0.750  0.750
Re  0.500  0.000  0.000
Re  0.500  0.500  0.500
Re  0.750  0.250  0.750
Re  0.750  0.750  0.250
Sn  0.250  0.250  0.750
Sn  0.250  0.750  0.250
Sn  0.750  0.250  0.250
Sn  0.750  0.750  0.750


First-principles (PBE) data for a geometry-optimized LuReSn structure, as listed in the Open Quantum Materials Database.

Values from the calculation:
The symmetry is F-43m, No. 216. As for the excess energy over the best structure of this formula in the dataset: 0.00 eV per formula unit. As for the electronic total energy: -20.20 eV/f.u. Its calculated density is 11357 kg/m3.

Cell: 6.547 6.547 6.547 Å, 90.00 90.00 90.00°
Atoms (fractional coordinates):
Lu  0.000  0.000  0.000
Lu  0.000  0.500  0.500
Lu  0.500  0.000  0.500
Lu  0.500  0.500  0.000
Re  0.250  0.250  0.250
Re  0.250  0.750  0.750
Re  0.750  0.250  0.750
Re  0.750  0.750  0.250
Sn  0.000  0.000  0.500
Sn  0.000  0.500  0.000
Sn  0.500  0.000  0.000
Sn  0.500  0.500  0.500


First-principles (PBE) data for a geometry-optimized SrLuRe2 structure, as listed in the Open Quantum Materials Database.

Values from the calculation:
The symmetry is F-43m, No. 216. As for the electronic total energy: -27.58 eV/f.u. Its calculated density is 13159 kg/m3.

Cell: 6.844 6.844 6.844 Å, 90.00 90.00 90.00°
Atoms (fractional coordinates):
Sr  0.000  0.000  0.000
Sr  0.000  0.500  0.500
Sr  0.500  0.000  0.500
Sr  0.500  0.500  0.000
Lu  0.250  0.250  0.250
Lu  0.250  0.750  0.750
Lu  0.750  0.250  0.750
Lu  0.750  0.750  0.250
Re  0.000  0.000  0.500
Re  0.000  0.500  0.000
Re  0.250  0.250  0.750
Re  0.250  0.750  0.250
Re  0.500  0.000  0.000
Re  0.500  0.500  0.500
Re  0.750  0.250  0.250
Re  0.750  0.750  0.750


First-principles (PBE) data for a geometry-optimized SrLuRe structure, as listed in the Open Quantum Materials Database.

Values from the calculation:
The symmetry is F-43m, No. 216. As for the excess energy over the best structure of this formula in the dataset: 0.00 eV per formula unit. As for the electronic total energy: -15.80 eV/f.u. Its calculated density is 8874 kg/m3.

Cell: 6.951 6.951 6.951 Å, 90.00 90.00 90.00°
Atoms (fractional coordinates):
Sr  0.000  0.000  0.000
Sr  0.000  0.500  0.500
Sr  0.500  0.000  0.500
Sr  0.500  0.500  0.000
Lu  0.000  0.000  0.500
Lu  0.000  0.500  0.000
Lu  0.500  0.000  0.000
Lu  0.500  0.500  0.500
Re  0.250  0.250  0.750
Re  0.250  0.750  0.250
Re  0.750  0.250  0.250
Re  0.750  0.750  0.750


First-principles (PBE) data for a geometry-optimized LuTa2Re structure, as listed in the Open Quantum Materials Database.

Values from the calculation:
The symmetry is F-43m, No. 216. For the energy relative to the elements, the calculation gives 0.19 eV per atom. As for the electronic total energy: -39.89 eV/f.u. Its calculated density is 16247 kg/m3.

Cell: 6.661 6.661 6.661 Å, 90.00 90.00 90.00°
Atoms (fractional coordinates):
Lu  0.000  0.000  0.000
Lu  0.000  0.500  0.500
Lu  0.500  0.000  0.500
Lu  0.500  0.500  0.000
Ta  0.000  0.000  0.500
Ta  0.000  0.500  0.000
Ta  0.250  0.250  0.250
Ta  0.250  0.750  0.750
Ta  0.500  0.000  0.000
Ta  0.500  0.500  0.500
Ta  0.750  0.250  0.750
Ta  0.750  0.750  0.250
Re  0.250  0.250  0.750
Re  0.250  0.750  0.250
Re  0.750  0.250  0.250
Re  0.750  0.750  0.750